[1]
Material: Sr2LiCaN
Method: DFT, GGA-PBE
State: optimized geometry

Lattice parameters (Å, degrees): 5.412 5.412 4.957 90.00 90.00 90.00
Sites, in units of the cell vectors:
Sr  0.000  0.500  0.000
Sr  0.500  0.000  0.000
Li  0.000  0.000  0.500
Ca  0.500  0.500  0.500
N  0.500  0.500  0.000

## Properties
The calculation puts the polymorph energy (0 for the lowest one) at 0.0 meV per atom. The energy relative to the elements, uncorrected is -0.303 eV/atom. The electronic total energy is -3.42 eV per atom. The space group is P4/mmm, No. 123.

***

[2]
Material: Sr2LiCaN
Method: DFT, GGA-PBE
State: optimized geometry

Lattice parameters (Å, degrees): 5.318 5.318 5.193 90.00 90.00 90.00
Sites, in units of the cell vectors:
Sr  0.000  0.500  0.000
Sr  0.500  0.000  0.000
Li  0.000  0.000  0.500
Ca  0.500  0.500  0.500
N  0.000  0.000  0.000

## Properties
The calculation puts the polymorph energy (0 for the lowest one) at 312.8 meV per atom. The energy relative to the elements, uncorrected is 0.010 eV/atom. The electronic total energy is -3.11 eV per atom. The space group is P4/mmm, No. 123.

***

[3]
Material: LiCaTa2N4
Method: DFT, GGA-PBE
State: optimized geometry

Lattice parameters (Å, degrees): 5.441 5.441 10.703 90.00 90.00 145.99
Sites, in units of the cell vectors:
Li  0.169  0.831  0.750
Li  0.831  0.169  0.250
Ca  0.106  0.894  0.250
Ca  0.894  0.106  0.750
Ta  0.371  0.629  0.056
Ta  0.371  0.629  0.444
Ta  0.629  0.371  0.556
Ta  0.629  0.371  0.944
N  0.000  0.000  0.000
N  0.000  0.000  0.500
N  0.267  0.733  0.606
N  0.267  0.733  0.894
N  0.428  0.572  0.250
N  0.572  0.428  0.750
N  0.733  0.267  0.106
N  0.733  0.267  0.394

## Properties
The energy relative to the elements, uncorrected is -1.123 eV/atom. The electronic total energy is -8.74 eV per atom. The space group is Cmcm, No. 63.

***

[4]
Material: LiCa4Ta3N8
Method: DFT, GGA-PBE
State: optimized geometry

Lattice parameters (Å, degrees): 6.633 6.633 6.633 58.03 58.03 58.03
Sites, in units of the cell vectors:
Li  0.000  0.000  0.000
Ca  0.000  0.000  0.500
Ca  0.000  0.500  0.000
Ca  0.500  0.000  0.000
Ca  0.500  0.500  0.500
Ta  0.000  0.500  0.500
Ta  0.500  0.000  0.500
Ta  0.500  0.500  0.000
N  0.247  0.247  0.713
N  0.247  0.713  0.247
N  0.261  0.261  0.261
N  0.287  0.753  0.753
N  0.713  0.247  0.247
N  0.739  0.739  0.739
N  0.753  0.287  0.753
N  0.753  0.753  0.287

## Properties
The energy relative to the elements, uncorrected is -1.132 eV/atom. The electronic total energy is -8.14 eV per atom. The space group is R-3m, No. 166.

***

[5]
Material: Li2Ca2TaN4
Method: DFT, GGA-PBE
State: optimized geometry

Lattice parameters (Å, degrees): 6.128 6.128 5.864 110.56 110.56 30.28
Sites, in units of the cell vectors:
Li  0.182  0.182  0.491
Li  0.818  0.818  0.509
Ca  0.361  0.361  0.939
Ca  0.639  0.639  0.061
Ta  0.500  0.500  0.500
N  0.016  0.016  0.268
N  0.307  0.307  0.304
N  0.693  0.693  0.696
N  0.984  0.984  0.732

## Properties
The energy relative to the elements, uncorrected is -0.734 eV/atom. The electronic total energy is -6.62 eV per atom. The space group is C2/m, No. 12.

***

[6]
Material: Li2CaTa3N6
Method: DFT, GGA-PBE
State: optimized geometry

Lattice parameters (Å, degrees): 7.172 7.172 6.505 106.11 106.11 25.11
Sites, in units of the cell vectors:
Li  0.173  0.173  0.352
Li  0.827  0.827  0.648
Ca  0.500  0.500  0.000
Ta  0.173  0.173  0.824
Ta  0.500  0.500  0.500
Ta  0.827  0.827  0.176
N  0.008  0.008  0.727
N  0.325  0.325  0.940
N  0.339  0.339  0.400
N  0.661  0.661  0.600
N  0.675  0.675  0.060
N  0.992  0.992  0.273

## Properties
The energy relative to the elements, uncorrected is -1.115 eV/atom. The electronic total energy is -8.73 eV per atom. The space group is C2/m, No. 12.

***

[7]
Material: LiCaTa4N8
Method: DFT, GGA-PBE
State: optimized geometry

Lattice parameters (Å, degrees): 6.353 6.353 6.353 60.01 60.01 60.01
Sites, in units of the cell vectors:
Li  0.000  0.000  0.000
Ca  0.379  0.379  0.379
Ta  0.005  0.005  0.483
Ta  0.005  0.483  0.005
Ta  0.483  0.005  0.005
Ta  0.622  0.622  0.622
N  0.236  0.236  0.236
N  0.243  0.243  0.808
N  0.243  0.808  0.243
N  0.244  0.742  0.742
N  0.742  0.244  0.742
N  0.742  0.742  0.244
N  0.756  0.756  0.756
N  0.808  0.243  0.243

## Properties
The energy relative to the elements, uncorrected is -0.851 eV/atom. The electronic total energy is -9.27 eV per atom. The space group is R3m, No. 160.

***

[8]
Material: LiCa2TcN4
Method: DFT, GGA-PBE
State: optimized geometry

Lattice parameters (Å, degrees): 7.611 6.257 5.285 90.00 90.00 90.00
Sites, in units of the cell vectors:
Li  0.000  0.144  0.000
Li  0.500  0.856  0.500
Ca  0.245  0.308  0.471
Ca  0.255  0.692  0.971
Ca  0.745  0.692  0.971
Ca  0.755  0.308  0.471
Tc  0.000  0.830  0.508
Tc  0.500  0.170  0.008
N  0.000  0.100  0.379
N  0.000  0.854  0.848
N  0.205  0.686  0.432
N  0.295  0.314  0.932
N  0.500  0.146  0.348
N  0.500  0.900  0.879
N  0.705  0.314  0.932
N  0.795  0.686  0.432

## Properties
The energy relative to the elements, uncorrected is -0.690 eV/atom. The electronic total energy is -6.89 eV per atom. The space group is Pmn2_1, No. 31.

***

[9]
Material: Li2Ca2TcN4
Method: DFT, GGA-PBE
State: optimized geometry

Lattice parameters (Å, degrees): 6.045 6.045 5.791 111.39 111.39 30.38
Sites, in units of the cell vectors:
Li  0.177  0.177  0.493
Li  0.823  0.823  0.507
Ca  0.364  0.364  0.944
Ca  0.636  0.636  0.056
Tc  0.500  0.500  0.500
N  0.012  0.012  0.267
N  0.309  0.309  0.307
N  0.691  0.691  0.693
N  0.988  0.988  0.733

## Properties
The energy relative to the elements, uncorrected is -0.366 eV/atom. The electronic total energy is -6.09 eV per atom. The space group is C2/m, No. 12.

***

[10]
Material: LiCa2TcN
Method: DFT, GGA-PBE
State: optimized geometry

Lattice parameters (Å, degrees): 5.071 5.071 4.209 90.00 90.00 90.00
Sites, in units of the cell vectors:
Li  0.000  0.000  0.000
Ca  0.000  0.500  0.000
Ca  0.500  0.000  0.000
Tc  0.000  0.000  0.500
N  0.500  0.500  0.500

## Properties
The calculation puts the polymorph energy (0 for the lowest one) at 1701.6 meV per atom. The energy relative to the elements, uncorrected is 1.448 eV/atom. The electronic total energy is -3.47 eV per atom. The space group is P4/mmm, No. 123.

***

[11]
Material: LiCa2TcN
Method: DFT, GGA-PBE
State: optimized geometry

Lattice parameters (Å, degrees): 5.092 5.092 3.885 90.00 90.00 90.00
Sites, in units of the cell vectors:
Li  0.000  0.000  0.000
Ca  0.000  0.500  0.500
Ca  0.500  0.000  0.500
Tc  0.500  0.500  0.000
N  0.500  0.500  0.500

## Properties
The calculation puts the polymorph energy (0 for the lowest one) at 0.0 meV per atom. The energy relative to the elements, uncorrected is -0.253 eV/atom. The electronic total energy is -5.17 eV per atom. The space group is P4/mmm, No. 123.

***

[12]
Material: LiCa2Tc2N4
Method: DFT, GGA-PBE
State: optimized geometry

Lattice parameters (Å, degrees): 6.653 6.653 6.043 111.85 111.85 27.57
Sites, in units of the cell vectors:
Li  0.000  0.000  0.000
Ca  0.123  0.123  0.494
Ca  0.877  0.877  0.506
Tc  0.329  0.329  0.014
Tc  0.671  0.671  0.986
N  0.236  0.236  0.232
N  0.476  0.476  0.234
N  0.524  0.524  0.766
N  0.764  0.764  0.768

## Properties
The energy relative to the elements, uncorrected is -0.477 eV/atom. The electronic total energy is -7.14 eV per atom. The space group is C2/m, No. 12.

***

Copy entry 10 word for word.
Material: LiCa2TcN
Method: DFT, GGA-PBE
State: optimized geometry

Lattice parameters (Å, degrees): 5.071 5.071 4.209 90.00 90.00 90.00
Sites, in units of the cell vectors:
Li  0.000  0.000  0.000
Ca  0.000  0.500  0.000
Ca  0.500  0.000  0.000
Tc  0.000  0.000  0.500
N  0.500  0.500  0.500

## Properties
The calculation puts the polymorph energy (0 for the lowest one) at 1701.6 meV per atom. The energy relative to the elements, uncorrected is 1.448 eV/atom. The electronic total energy is -3.47 eV per atom. The space group is P4/mmm, No. 123.